# V2OsAu GGA-PBE relaxed
data_V2OsAu
_space_group_name_H-M_alt 'P 4/m m m'
_space_group_IT_number 123
_space_group_name_Hall '-P 4 2'
_cell_length_a 3.9227
_cell_length_b 3.9227
_cell_length_c 3.7712
_cell_angle_alpha 90.00
_cell_angle_beta 90.00
_cell_angle_gamma 90.00
loop_
_atom_site_label
_atom_site_type_symbol
_atom_site_fract_x
_atom_site_fract_y
_atom_site_fract_z
_atom_site_occupancy
V1 V 0.0000 0.5000 0.0000 1
Os1 Os 0.0000 0.0000 0.5000 1
Au1 Au 0.5000 0.5000 0.5000 1
# Magnetic moment = 0.00 μB/atom
# Calculated total energy = -8.22 eV/atom